1.
10
Lattice="-3.4496 2.4592 1.8150 1.5345 -0.9734 4.2355 6.5456 9.3466 -0.2235" Properties=species:S:1:pos:R:3 comment="Nd2Sn4PtAu3 GGA-PBE relaxed" mass_density_g_cm3=10.6 ef_ev_per_fu=-5.97 space_group="P-4m2 (115)" pbc="T T T"
Nd 5.4957 6.2652 1.9563
Sn 2.3769 7.0865 0.7674
Au 3.8894 9.2463 0.7158
Au 1.6986 0.8432 2.0859
Pt 2.3153 5.4162 2.9135
Sn 0.0000 0.0000 0.0000
Nd 0.0924 3.8244 0.8454
Sn -0.9575 0.7429 3.0252
Au 3.2728 4.6733 -0.1118
Sn 3.2112 3.0031 2.0343

2.
4
Lattice="-4.3329 1.0791 -2.4887 -3.4577 -3.6740 -0.8232 -4.4471 0.0642 2.5202" Properties=species:S:1:pos:R:3 comment="TbNdPtAu GGA-PBE relaxed" mass_density_g_cm3=12.2 de_polymorph_mev_per_atom=61.6 ef_ev_per_fu=-3.81 space_group="F-43m (216)" pbc="T T T"
Tb 0.0000 0.0000 0.0000
Pt -9.1783 -1.8981 -0.5937
Au -3.0594 -0.6327 -0.1979
Nd -6.1188 -1.2654 -0.3958

3.
4
Lattice="-3.7850 0.7331 -0.2770 -0.5373 -1.0708 4.5073 2.7984 4.8170 1.4780" Properties=species:S:1:pos:R:3 comment="TbNdPtAu GGA-PBE relaxed" mass_density_g_cm3=11.8 de_polymorph_mev_per_atom=0.0 ef_ev_per_fu=-4.06 space_group="Amm2 (38)" pbc="T T T"
Au -2.0065 0.7159 2.3438
Nd 0.2528 1.4465 0.3738
Pt 0.7449 4.2619 1.1013
Tb -1.5016 3.6049 3.0903

4.
4
Lattice="5.0312 0.0000 0.0000 2.5156 4.3571 0.0000 2.5156 1.4524 4.1079" Properties=species:S:1:pos:R:3 comment="NdTlPtAu GGA-PBE relaxed" mass_density_g_cm3=13.7 ef_ev_per_fu=-2.31 space_group="F-43m (216)" pbc="T T T"
Au 2.5156 1.4524 1.0270
Tl 0.0000 0.0000 0.0000
Nd 5.0312 2.9047 2.0540
Pt 7.5467 4.3571 3.0809

5.
4
Lattice="3.8163 0.0000 0.0000 0.0000 4.6489 0.0000 -1.9081 0.0000 5.3907" Properties=species:S:1:pos:R:3 comment="NdTmPtAu GGA-PBE relaxed" mass_density_g_cm3=12.2 de_polymorph_mev_per_atom=0.0 ef_ev_per_fu=-4.10 space_group="Amm2 (38)" pbc="T T T"
Pt 0.0000 0.0000 4.4275
Tm 1.9081 2.3245 3.9267
Au 1.9081 2.3245 0.9167
Nd 0.0000 0.0000 1.5106

6.
4
Lattice="-2.7256 -3.1659 2.8760 0.8165 -4.9990 -0.2571 2.1875 -2.4154 3.8864" Properties=species:S:1:pos:R:3 comment="NdTmPtAu GGA-PBE relaxed" mass_density_g_cm3=12.7 de_polymorph_mev_per_atom=51.3 ef_ev_per_fu=-3.90 space_group="F-43m (216)" pbc="T T T"
Pt 0.0000 0.0000 0.0000
Tm 0.2088 -7.9352 4.8790
Au 0.1392 -5.2902 3.2526
Nd 0.0696 -2.6451 1.6263

7.
6
Lattice="4.8452 0.0000 0.0000 0.0000 4.8452 0.0000 0.0000 0.0000 5.5446" Properties=species:S:1:pos:R:3 comment="NdZn2PtAu2 GGA-PBE relaxed" mass_density_g_cm3=11.0 ef_ev_per_fu=-2.45 space_group="P4/mmm (123)" pbc="T T T"
Au 2.4226 2.4226 1.4352
Pt 0.0000 0.0000 0.0000
Au 2.4226 2.4226 4.1095
Zn 0.0000 2.4226 0.0000
Nd 0.0000 0.0000 2.7723
Zn 2.4226 0.0000 0.0000

8.
10
Lattice="4.1138 0.0000 0.0000 0.0000 4.1138 0.0000 0.0000 0.0000 11.5385" Properties=species:S:1:pos:R:3 comment="Nd2Zn3Pt4Au GGA-PBE relaxed" mass_density_g_cm3=12.4 ef_ev_per_fu=-7.39 space_group="P-4m2 (115)" pbc="T T T"
Zn 0.0000 0.0000 5.7693
Nd 2.0569 0.0000 2.8261
Pt 0.0000 2.0569 3.9689
Zn 2.0569 0.0000 10.0447
Pt 2.0569 0.0000 7.5696
Pt 0.0000 0.0000 0.0000
Pt 2.0569 2.0569 0.0000
Au 2.0569 2.0569 5.7693
Zn 0.0000 2.0569 1.4938
Nd 0.0000 2.0569 8.7124

9.
20
Lattice="3.9056 0.0000 0.0000 0.0000 9.6816 0.0000 0.0000 0.0000 9.6816" Properties=species:S:1:pos:R:3 comment="Nd2Zn2Pt5Au GGA-PBE relaxed" mass_density_g_cm3=14.4 ef_ev_per_fu=-7.37 space_group="P4/mbm (127)" pbc="T T T"
Pt 1.9528 0.0000 4.8408
Nd 0.0000 1.7361 3.1046
Nd 0.0000 7.9454 6.5769
Pt 1.9528 9.0627 2.0096
Zn 0.0000 1.1514 5.9922
Pt 1.9528 0.6188 7.6720
Zn 0.0000 8.5301 3.6893
Pt 1.9528 2.0096 0.6188
Zn 0.0000 5.9922 8.5301
Pt 1.9528 4.8408 0.0000
Pt 1.9528 4.2220 2.8312
Zn 0.0000 3.6893 1.1514
Pt 1.9528 6.8504 4.2220
Pt 1.9528 7.6720 9.0627
Nd 0.0000 3.1046 7.9454
Au 0.0000 4.8408 4.8408
Au 0.0000 0.0000 0.0000
Pt 1.9528 2.8312 5.4596
Nd 0.0000 6.5769 1.7361
Pt 1.9528 5.4596 6.8504

10.
12
Lattice="-2.4603 1.1017 -3.8804 6.3461 -1.8542 -4.5500 -2.7410 -8.0099 -0.5362" Properties=species:S:1:pos:R:3 comment="NdPuAu GGA-PBE relaxed" mass_density_g_cm3=12.1 de_polymorph_mev_per_atom=0.0 ef_ev_per_fu=-1.24 space_group="P2_1/m (11)" pbc="T T T"
Au 1.7265 -6.5758 -7.2766
Pu -3.7894 -7.4042 -4.0141
Nd -0.4383 -2.7206 -4.8092
Nd 1.5831 -6.0418 -4.1574
Nd -1.5899 -5.1148 -1.8823
Pu 1.7613 -0.4312 -2.6772
Au -0.5817 -2.1866 -1.6899
Au 2.5911 -3.1136 -3.9653
Pu 4.9342 -1.3582 -4.9525
Pu -0.6165 -8.3312 -6.2894
Nd 2.7346 -3.6476 -7.0843
Au -1.4463 -5.6488 -5.0013

11.
3
Lattice="3.6917 0.0000 0.0000 0.0000 3.6917 0.0000 -1.8459 -1.8459 6.0614" Properties=species:S:1:pos:R:3 comment="NdPuAu GGA-PBE relaxed" mass_density_g_cm3=11.8 de_polymorph_mev_per_atom=132.9 ef_ev_per_fu=-0.84 space_group="I4mm (107)" pbc="T T T"
Au 1.8459 1.8459 2.0106
Nd 0.0000 0.0000 3.8020
Pu 0.0000 0.0000 0.2488

12.
7
Lattice="-0.5691 4.9741 -3.7489 -4.9843 -3.7541 -0.4270 0.3374 1.7049 6.0082" Properties=species:S:1:pos:R:3 comment="Nd2PuAu4 GGA-PBE relaxed" mass_density_g_cm3=11.7 ef_ev_per_fu=-3.45 space_group="I4/mmm (139)" pbc="T T T"
Nd -0.1158 3.3395 1.1297
Au 0.1687 0.8524 3.0041
Au -2.4922 -1.8771 -0.2135
Nd -2.7767 0.6100 -2.0879
Au -0.2845 2.4870 -1.8744
Au -2.6080 1.4624 0.9162
Pu 0.0000 0.0000 0.0000

13.
8
Lattice="3.6456 0.0000 -0.0001 0.0000 3.6457 -0.0001 -0.0005 -0.0002 14.7356" Properties=species:S:1:pos:R:3 comment="NdPu3Au4 GGA-PBE relaxed" mass_density_g_cm3=14.1 ef_ev_per_fu=-3.86 space_group="P4/mmm (123)" pbc="T T T"
Au -0.0001 3.6456 1.8459
Pu 1.8227 1.8228 3.7262
Au 3.6452 -0.0001 9.1958
Au -0.0002 3.6456 5.5397
Pu 1.8225 1.8227 7.3677
Au 3.6451 -0.0002 12.8895
Nd 1.8228 1.8228 -0.0001
Pu 1.8224 1.8227 11.0093

14.
6
Lattice="-3.4581 -0.7168 -1.0083 1.0986 -0.4030 -3.4813 1.7336 -10.9083 1.8097" Properties=species:S:1:pos:R:3 comment="Nd2PuAu3 GGA-PBE relaxed" mass_density_g_cm3=12.4 ef_ev_per_fu=-3.84 space_group="P4/mmm (123)" pbc="T T T"
Au 0.5765 -3.6273 0.6018
Nd 0.2606 -9.6235 -0.7411
Pu -0.3130 -6.0141 -1.3399
Nd -0.8866 -2.4046 -1.9387
Au 1.1571 -7.2810 1.2079
Au 0.0000 0.0000 0.0000

15.
4
Lattice="5.3737 0.0000 0.0000 2.6869 4.6538 0.0000 2.6869 1.5513 4.3887" Properties=species:S:1:pos:R:3 comment="Nd2PuAu GGA-PBE relaxed" mass_density_g_cm3=11.0 de_polymorph_mev_per_atom=210.5 ef_ev_per_fu=-0.17 space_group="Fm-3m (225)" pbc="T T T"
Nd 8.0606 4.6538 3.2922
Nd 2.6869 1.5513 1.0965
Pu 5.3737 3.1025 2.1944
Au 0.0000 0.0000 0.0000

16.
6
Lattice="-2.2401 -2.7778 -0.5161 1.5439 -0.6519 -3.1925 7.4586 -6.9487 5.0261" Properties=species:S:1:pos:R:3 comment="NdPu2Au3 GGA-PBE relaxed" mass_density_g_cm3=13.7 ef_ev_per_fu=-3.07 space_group="P4/mmm (123)" pbc="T T T"
Pu 0.8818 -2.8606 -1.0255
Au 4.9708 -4.6310 3.3497
Au 2.4877 -2.3177 1.6764
Nd 3.3812 -5.1892 0.6588
Pu 5.8806 -7.5178 2.3431
Au 0.0000 0.0000 0.0000

17.
4
Lattice="-1.8082 3.1082 -0.7197 -2.0869 -1.7780 -2.4355 -5.5803 -1.8298 6.1173" Properties=species:S:1:pos:R:3 comment="Nd2PuAu GGA-PBE relaxed" mass_density_g_cm3=10.6 de_polymorph_mev_per_atom=0.0 ef_ev_per_fu=-1.01 space_group="P4/mmm (123)" pbc="T T T"
Nd -4.3589 -1.4293 4.7783
Nd -1.2214 -0.4005 1.3389
Au -1.9475 0.6651 -1.5776
Pu -4.7377 -0.2498 1.4810

18.
4
Lattice="3.9871 0.0000 0.0000 0.0000 4.2418 0.0000 -1.9935 0.0000 5.6847" Properties=species:S:1:pos:R:3 comment="NdPuRhAu GGA-PBE relaxed" mass_density_g_cm3=11.9 de_polymorph_mev_per_atom=0.0 ef_ev_per_fu=-2.32 space_group="Amm2 (38)" pbc="T T T"
Nd 0.0000 0.0000 1.7183
Pu 1.9935 2.1209 4.1732
Au 1.9935 2.1209 0.8927
Rh 0.0000 0.0000 4.5853

19.
4
Lattice="-1.3261 -3.8110 3.0762 3.3412 -3.6592 1.0916 1.9903 -0.3113 4.6569" Properties=species:S:1:pos:R:3 comment="NdPuRhAu GGA-PBE relaxed" mass_density_g_cm3=12.4 de_polymorph_mev_per_atom=80.0 ef_ev_per_fu=-2.00 space_group="F-43m (216)" pbc="T T T"
Au 0.0000 0.0000 0.0000
Pu 3.0040 -5.8362 6.6186
Rh 2.0027 -3.8908 4.4124
Nd 1.0013 -1.9454 2.2062

20.
4
Lattice="5.0406 0.0000 0.0000 2.5203 4.3653 0.0000 2.5203 1.4551 4.1156" Properties=species:S:1:pos:R:3 comment="NdPuRuAu GGA-PBE relaxed" mass_density_g_cm3=12.6 ef_ev_per_fu=-1.03 space_group="F-43m (216)" pbc="T T T"
Au 2.5203 1.4551 1.0289
Ru 7.5609 4.3653 3.0867
Pu 0.0000 0.0000 0.0000
Nd 5.0406 2.9102 2.0578

21.
4
Lattice="-2.7980 2.4784 -3.7985 -0.3490 -2.1314 -4.8719 -4.6176 -2.0614 -1.6820" Properties=species:S:1:pos:R:3 comment="NdPuSbAu GGA-PBE relaxed" raw_formation_energy_mev_per_atom=-662 mass_density_g_cm3=11.0 space_group="F-43m (216)" pbc="T T T"
Au 0.0000 0.0000 0.0000
Sb -3.8823 -0.8572 -5.1763
Pu -5.8235 -1.2858 -7.7644
Nd -1.9412 -0.4286 -2.5881

22.
7
Lattice="4.1148 0.0000 0.0000 2.0574 3.5635 0.0000 2.0574 1.1878 9.5277" Properties=species:S:1:pos:R:3 comment="NdPu2Si2Au2 GGA-PBE relaxed" raw_formation_energy_mev_per_atom=-347 mass_density_g_cm3=12.9 space_group="R-3m (166)" pbc="T T T"
Au 4.1148 2.3757 2.0453
Pu 2.0574 1.1878 5.1898
Au 4.1148 2.3757 7.4823
Si 2.0574 1.1878 2.3922
Pu 6.1722 3.5635 4.3379
Nd 0.0000 0.0000 0.0000
Si 6.1722 3.5635 7.1355

23.
4
Lattice="5.1905 0.0000 0.0000 2.5953 4.4951 0.0000 2.5953 1.4984 4.2380" Properties=species:S:1:pos:R:3 comment="NdPuZnAu GGA-PBE relaxed" mass_density_g_cm3=10.9 ef_ev_per_fu=-1.31 space_group="F-43m (216)" pbc="T T T"
Au 5.1905 2.9967 2.1190
Pu 7.7858 4.4951 3.1785
Zn 0.0000 0.0000 0.0000
Nd 2.5953 1.4984 1.0595

24.
12
Lattice="-2.7810 -3.7099 0.5544 3.1118 -1.6672 4.4531 -5.8828 5.3220 6.1034" Properties=species:S:1:pos:R:3 comment="RbNdAu10 GGA-PBE relaxed" mass_density_g_cm3=13.8 ef_ev_per_fu=-3.38 space_group="Pmmm (47)" pbc="T T T"
Au -0.5989 -1.7163 5.1752
Au -3.4311 0.8459 8.1136
Au 0.4890 0.1316 3.3335
Rb 0.0000 0.0000 0.0000
Au -2.1208 -0.9009 2.9974
Au -2.0089 1.8174 2.0843
Au -3.8739 3.5046 4.0192
Au -4.9530 1.6613 5.9358
Nd -1.3855 1.8274 5.2783
Au -4.3319 0.8061 3.3289
Au -3.2600 3.5232 7.2230
Au 0.1654 -2.6885 2.5038

25.
4
Lattice="3.5541 0.0000 0.0000 0.0000 5.6234 0.0000 0.0000 0.0000 5.6234" Properties=species:S:1:pos:R:3 comment="RbNdAu2 GGA-PBE relaxed" mass_density_g_cm3=9.2 de_polymorph_mev_per_atom=191.1 ef_ev_per_fu=-1.39 space_group="P4/mmm (123)" pbc="T T T"
Rb 1.7770 0.0000 0.0000
Au 0.0000 2.8117 0.0000
Au 0.0000 0.0000 2.8117
Nd 1.7770 2.8117 2.8117

26.
4
Lattice="-0.1658 2.6351 -2.8137 -0.8773 -2.7682 -2.5408 -8.1307 1.1492 1.5555" Properties=species:S:1:pos:R:3 comment="RbNdAu2 GGA-PBE relaxed" mass_density_g_cm3=8.3 de_polymorph_mev_per_atom=0.0 ef_ev_per_fu=-2.16 space_group="P4/mmm (123)" pbc="T T T"
Nd -0.5216 -0.0665 -2.6772
Rb -4.5870 0.5081 -1.8995
Au -6.6581 0.9411 1.2738
Au -1.4726 0.2081 0.2817

27.
10
Lattice="5.0994 0.0000 0.0000 0.0000 7.6652 0.4070 0.0000 -1.9458 7.7959" Properties=species:S:1:pos:R:3 comment="RbNdAuS2 GGA-PBE relaxed" raw_formation_energy_mev_per_atom=-1135 mass_density_g_cm3=5.3 space_group="P2/c (13)" pbc="T T T"
S 3.4516 3.9956 7.7987
S 1.6478 1.7238 0.4043
S 3.4516 0.7509 4.3022
S 1.6478 4.9685 3.9007
Rb 0.8190 2.3732 6.0505
Nd 2.5099 -0.4865 1.9490
Rb 4.2804 3.3462 2.1525
Au 0.0000 -0.9729 3.8980
Nd 2.5895 -1.4594 5.8470
Au 0.0000 0.0000 0.0000

Computed values of D(E_F) (unit: states/eV/cell) for the preceding records, in sequence: 5.20; 2.59; 2.56; 2.39; 2.16; 2.68; 2.56; 3.47; 4.72; 30.12; 10.06; 12.07; 28.91; 11.98; 15.70; 20.66; 8.85; 10.72; 13.11; 11.24; 10.88; 8.72; 11.18; 5.51; 3.32; 2.07; 6.41.